# 1
## Er3AuSe2 (PBE-GGA)

Data for Er3AuSe2 after structural relaxation.

Summary:
The calculation puts the calculated density at 9.8 Mg/m³. As for the magnetic moment: 0.000 μB/cell. The total DFT energy (no corrections) is -5.390 eV/atom. The value obtained for the energy relative to the lowest polymorph listed for this composition is 0.005 eV per atom. The calculation puts the raw formation energy at -32.30 kcal/mol of atoms.

Geometry as POSCAR:
```
Er3AuSe2
1.0
-2.3662 1.2259 2.9222
-1.3434 -5.5275 1.2311
6.7168 1.8720 1.9773
Se Er Au
2 3 1
Direct
0.8322 0.8322 0.1644 Se
0.1678 0.1678 0.8356 Se
0.1651 0.6651 0.8303 Er
0.8349 0.3349 0.1697 Er
0.5000 0.0000 0.5000 Er
0.5000 0.5000 0.5000 Au
```

---

# 2
## ErAuSe (PBE-GGA)

Data for ErAuSe after structural relaxation.

Summary:
The calculation puts the calculated density at 11.2 Mg/m³. As for the magnetic moment: 0.000 μB/cell. The total DFT energy (no corrections) is -5.030 eV/atom. The calculation puts the raw formation energy at -28.94 kcal/mol of atoms.

Geometry as POSCAR:
```
ErAuSe
1.0
-4.0706 -2.0221 -3.0300
3.5720 1.2650 -0.7280
-0.3963 -9.4357 1.9361
Er Se Au
2 2 2
Direct
0.2514 0.2784 0.7738 Er
0.7486 0.7216 0.2262 Er
0.7510 0.3709 0.8678 Se
0.2490 0.6291 0.1322 Se
0.7498 0.0471 0.5476 Au
0.2502 0.9529 0.4524 Au
```

---

# 3
## Er2AuSe (PBE-GGA)

Data for Er2AuSe after structural relaxation.

Summary:
The calculation puts the calculated density at 10.7 Mg/m³. As for the magnetic moment: 0.000 μB/cell. The total DFT energy (no corrections) is -5.283 eV/atom. The value obtained for the energy relative to the lowest polymorph listed for this composition is 0.000 eV per atom. The calculation puts the raw formation energy at -30.23 kcal/mol of atoms.

Geometry as POSCAR:
```
Er2AuSe
1.0
4.2207 0.0000 0.0000
0.0000 3.8944 -0.6917
0.0000 0.0398 11.5333
Er Au Se
4 2 2
Direct
0.2500 0.3203 0.6406 Er
0.7500 0.9333 0.8666 Er
0.2500 0.0667 0.1334 Er
0.7500 0.6797 0.3594 Er
0.7500 0.5465 0.0929 Au
0.2500 0.4535 0.9071 Au
0.7500 0.8065 0.6130 Se
0.2500 0.1935 0.3870 Se
```

---

# 4
## Er3AuSe2 (PBE-GGA)

Data for Er3AuSe2 after structural relaxation.

Summary:
The calculation puts the calculated density at 9.8 Mg/m³. As for the magnetic moment: 0.000 μB/cell. The total DFT energy (no corrections) is -5.395 eV/atom. The value obtained for the energy relative to the lowest polymorph listed for this composition is 0.000 eV per atom. The calculation puts the raw formation energy at -32.43 kcal/mol of atoms.

Geometry as POSCAR:
```
Er3AuSe2
1.0
-2.6995 3.0372 5.8496
-5.1907 -3.5611 -3.3325
6.6476 -9.6701 5.1455
Se Er Au
8 12 4
Direct
0.6689 0.1689 0.3377 Se
0.5811 0.5811 0.1623 Se
0.2510 0.2510 0.5021 Se
0.4189 0.4189 0.8377 Se
0.7490 0.7490 0.4979 Se
0.9990 0.4990 0.9979 Se
0.8311 0.3311 0.6623 Se
0.5010 0.0010 0.0021 Se
0.3320 0.8344 0.1672 Er
0.2471 0.2471 0.0000 Er
0.7529 0.7529 0.0000 Er
0.9180 0.9156 0.3328 Er
0.6672 0.1648 0.8328 Er
0.4148 0.4172 0.3328 Er
0.0029 0.5029 0.5000 Er
0.5828 0.5852 0.6672 Er
0.4971 0.9971 0.5000 Er
0.1656 0.6680 0.8328 Er
0.0844 0.0820 0.6672 Er
0.8352 0.3328 0.1672 Er
0.1660 0.6660 0.3321 Au
0.0840 0.0840 0.1679 Au
0.3340 0.8340 0.6679 Au
0.9160 0.9160 0.8321 Au
```

---

# 5
## Er2AuSe (PBE-GGA)

Data for Er2AuSe after structural relaxation.

Summary:
The calculation puts the calculated density at 10.2 Mg/m³. As for the magnetic moment: 0.000 μB/cell. The total DFT energy (no corrections) is -5.166 eV/atom. The value obtained for the energy relative to the lowest polymorph listed for this composition is 0.117 eV per atom. The calculation puts the raw formation energy at -27.53 kcal/mol of atoms.

Geometry as POSCAR:
```
Er2AuSe
1.0
-3.4483 -1.1717 -1.3867
-1.8756 -2.9660 1.6945
-5.2820 3.4771 4.7207
Au Se Er
1 1 2
Direct
0.6680 0.6680 0.9960 Au
0.4983 0.4983 0.5051 Se
0.2521 0.2521 0.2436 Er
0.0816 0.0816 0.7553 Er
```

---

# 6
## Er2AuSe (PBE-GGA)

Data for Er2AuSe after structural relaxation.

Summary:
The calculation puts the calculated density at 10.3 Mg/m³. As for the magnetic moment: 0.000 μB/cell. The total DFT energy (no corrections) is -5.228 eV/atom. The value obtained for the energy relative to the lowest polymorph listed for this composition is 0.055 eV per atom. The calculation puts the raw formation energy at -28.97 kcal/mol of atoms.

Geometry as POSCAR:
```
Er2AuSe
1.0
3.9477 0.0000 0.0000
1.9738 3.4188 0.0000
1.9738 1.1396 7.3014
Er Se Au
2 1 1
Direct
0.7498 0.7498 0.7506 Er
0.2502 0.2502 0.2494 Er
0.5000 0.5000 0.5000 Se
0.0000 0.0000 0.0000 Au
```

---

# 7
## Er4AuSe3 (PBE-GGA)

Data for Er4AuSe3 after structural relaxation.

Summary:
The calculation puts the calculated density at 9.5 Mg/m³. As for the magnetic moment: 0.000 μB/cell. The total DFT energy (no corrections) is -5.488 eV/atom. The calculation puts the raw formation energy at -34.36 kcal/mol of atoms.

Geometry as POSCAR:
```
Er4AuSe3
1.0
-0.0638 3.5424 1.7822
-2.6342 -3.0286 5.9258
7.1449 -0.0786 0.4120
Er Au Se
4 1 3
Direct
0.0000 0.7563 0.7563 Er
0.5000 0.7524 0.2476 Er
0.5000 0.2476 0.7524 Er
0.0000 0.2437 0.2437 Er
0.5000 0.0000 0.0000 Au
0.5000 0.5000 0.5000 Se
0.0000 0.5000 0.0000 Se
0.0000 0.0000 0.5000 Se
```

---

# 8
## Er6Te2AuSe3 (PBE-GGA)

Data for Er6Te2AuSe3 after structural relaxation.

Summary:
The calculation puts the calculated density at 9.1 Mg/m³. As for the magnetic moment: 0.000 μB/cell. The total DFT energy (no corrections) is -5.354 eV/atom. The calculation puts the raw formation energy at -32.40 kcal/mol of atoms.

Geometry as POSCAR:
```
Er6Te2AuSe3
1.0
-0.4529 -5.6674 4.4914
4.0569 -0.4614 -5.9855
4.1477 4.3385 3.9412
Er Se Te Au
6 3 2 1
Direct
0.2227 0.2227 0.7360 Er
0.0836 0.3964 0.2552 Er
0.7773 0.7773 0.2640 Er
0.9164 0.6036 0.7448 Er
0.3964 0.0836 0.2552 Er
0.6036 0.9164 0.7448 Er
0.5000 0.5000 0.5000 Se
0.1785 0.8215 0.5000 Se
0.8215 0.1785 0.5000 Se
0.6638 0.3362 0.0000 Te
0.3362 0.6638 0.0000 Te
0.0000 0.0000 0.0000 Au
```

---

Density of states at the Fermi level for the records above, in order: 5.38 0.85 1.79 3.13 2.38 2.42 4.39 4.53 states/eV/f.u.